[1]
{
  "formula": "YSN2O",
  "functional": "PBE-GGA",
  "state": "relaxed",
  "sg": "No. 123",
  "lattice": [[4.770, 0.000, 0.000], [0.000, 4.770, 0.000], [0.000, 0.000, 4.238]],
  "species": ["Y", "S", "N", "N", "O"],
  "fractional_positions": [[0.000, 0.000, 0.000], [0.500, 0.500, 0.500], [0.000, 0.500, 0.000], [0.500, 0.000, 0.000], [0.000, 0.000, 0.500]]
}

---

[2]
{
  "formula": "YSNO2",
  "functional": "PBE-GGA",
  "state": "relaxed",
  "sg": "No. 123",
  "lattice": [[3.457, 0.000, 0.000], [0.000, 3.457, 0.000], [0.000, 0.000, 6.046]],
  "species": ["Y", "S", "N", "O", "O"],
  "fractional_positions": [[0.000, 0.000, 0.000], [0.000, 0.000, 0.500], [0.500, 0.500, 0.000], [0.000, 0.500, 0.500], [0.500, 0.000, 0.500]]
}

---

[3]
{
  "formula": "YSN2O",
  "functional": "PBE-GGA",
  "state": "relaxed",
  "sg": "No. 123",
  "lattice": [[3.675, 0.000, 0.000], [0.000, 3.675, 0.000], [0.000, 0.000, 3.897]],
  "species": ["Y", "S", "N", "N", "O"],
  "fractional_positions": [[0.000, 0.000, 0.000], [0.500, 0.500, 0.500], [0.000, 0.500, 0.500], [0.500, 0.000, 0.500], [0.500, 0.500, 0.000]]
}

---

[4]
{
  "formula": "YSN2O",
  "functional": "PBE-GGA",
  "state": "relaxed",
  "sg": "No. 123",
  "lattice": [[4.616, 0.000, 0.000], [0.000, 4.616, 0.000], [0.000, 0.000, 5.451]],
  "species": ["Y", "S", "N", "N", "O"],
  "fractional_positions": [[0.000, 0.000, 0.000], [0.000, 0.000, 0.500], [0.000, 0.500, 0.000], [0.500, 0.000, 0.000], [0.500, 0.500, 0.500]]
}

---

[5]
{
  "formula": "YS2NO",
  "functional": "PBE-GGA",
  "state": "relaxed",
  "sg": "No. 123",
  "lattice": [[4.146, 0.000, 0.000], [0.000, 4.146, 0.000], [0.000, 0.000, 4.131]],
  "species": ["Y", "S", "S", "N", "O"],
  "fractional_positions": [[0.000, 0.000, 0.000], [0.000, 0.500, 0.500], [0.500, 0.000, 0.500], [0.500, 0.500, 0.000], [0.500, 0.500, 0.500]]
}

---

[6]
{
  "formula": "YSNO2",
  "functional": "PBE-GGA",
  "state": "relaxed",
  "sg": "No. 123",
  "lattice": [[4.306, 0.000, 0.000], [0.000, 4.306, 0.000], [0.000, 0.000, 4.827]],
  "species": ["Y", "S", "N", "O", "O"],
  "fractional_positions": [[0.000, 0.000, 0.000], [0.500, 0.500, 0.500], [0.000, 0.000, 0.500], [0.000, 0.500, 0.000], [0.500, 0.000, 0.000]]
}

---

[7]
{
  "formula": "YS2NO",
  "functional": "PBE-GGA",
  "state": "relaxed",
  "sg": "No. 123",
  "lattice": [[5.371, 0.000, 0.000], [0.000, 5.371, 0.000], [0.000, 0.000, 4.631]],
  "species": ["Y", "S", "S", "N", "O"],
  "fractional_positions": [[0.000, 0.000, 0.000], [0.000, 0.500, 0.000], [0.500, 0.000, 0.000], [0.000, 0.000, 0.500], [0.500, 0.500, 0.500]]
}

---

[8]
{
  "formula": "YSN2O",
  "functional": "PBE-GGA",
  "state": "relaxed",
  "sg": "No. 123",
  "lattice": [[3.989, 0.000, 0.000], [0.000, 3.989, 0.000], [0.000, 0.000, 3.770]],
  "species": ["Y", "S", "N", "N", "O"],
  "fractional_positions": [[0.000, 0.000, 0.000], [0.500, 0.500, 0.000], [0.000, 0.500, 0.500], [0.500, 0.000, 0.500], [0.500, 0.500, 0.500]]
}

---

Q: Which formation energy from raw total energies values were calculated for the entries above? A: 0.99 -0.29 -0.24 1.40 0.17 0.26 0.84 0.70, in eV per atom.
Q: Which energy values were calculated for the entries above? A: -5.454 -6.053 -6.681 -5.039 -5.432 -5.510 -4.759 -5.736, in eV/atom.